# 1
# Rb2SnPt

An optimized crystal structure of Rb2SnPt (PBE-GGA, the Alexandria database).

```
Rb2SnPt
1.0
3.7440 0.0000 0.0000
0.0000 3.7440 0.0000
0.0000 0.0000 10.6860
Rb Sn Pt
2 1 1
direct
0.0000 0.0000 0.0000
0.5000 0.5000 0.4277
0.5000 0.5000 0.7530
0.0000 0.0000 0.6645
```

Properties
Its formation energy is -15 kJ per mole of atoms. Its total magnetization is 0.0 μB/f.u.

# 2
# RbSnPt2

An optimized crystal structure of RbSnPt2 (PBE-GGA, the Alexandria database).

```
RbSnPt2
1.0
2.3295 1.3449 6.2336
-2.3295 1.3449 6.2336
0.0000 -2.6899 6.2336
Rb Sn Pt
1 1 2
direct
0.0000 0.0000 0.0000
0.5000 0.5000 0.5000
0.1838 0.1838 0.1838
0.8162 0.8162 0.8162
```

Properties
Its formation energy is -34 kJ per mole of atoms. Its total magnetization is 0.0 μB/f.u.

# 3
# Rb3SnPt

An optimized crystal structure of Rb3SnPt (PBE-GGA, the Alexandria database).

```
Rb3SnPt
1.0
6.4154 0.0000 0.0000
0.0000 6.4154 0.0000
0.0000 0.0000 6.4154
Rb Sn Pt
3 1 1
direct
0.0000 0.0000 0.5000
0.0000 0.5000 0.0000
0.5000 0.0000 0.0000
0.5000 0.5000 0.5000
0.0000 0.0000 0.0000
```

Properties
Its formation energy is 24 kJ per mole of atoms. Its total magnetization is 3.0 μB/f.u.

# 4
# RbSnPt2

An optimized crystal structure of RbSnPt2 (PBE-GGA, the Alexandria database).

```
RbSnPt2
1.0
-4.0041 4.0041 3.6588
4.0041 -4.0041 3.6588
4.0041 4.0041 -3.6588
Rb Sn Pt
2 2 4
direct
0.0000 0.0000 0.0000
0.7500 0.2500 0.5000
0.2500 0.7500 0.5000
0.5000 0.5000 0.0000
0.2095 0.1250 0.5845
0.3750 0.7905 0.9155
0.5405 0.6250 0.4155
0.8750 0.4595 0.0845
```

Properties
Its formation energy is 11 kJ per mole of atoms. Its total magnetization is 0.0 μB/f.u.

# 5
# Rb2SnPt2

An optimized crystal structure of Rb2SnPt2 (PBE-GGA, the Alexandria database).

```
Rb2SnPt2
1.0
6.9676 0.0000 0.0000
0.0000 6.9676 0.0000
0.0000 0.0000 5.8025
Rb Sn Pt
4 2 4
direct
0.1750 0.3250 0.0000
0.3250 0.8250 0.0000
0.6750 0.1750 0.0000
0.8250 0.6750 0.0000
0.0000 0.0000 0.5000
0.5000 0.5000 0.5000
0.1343 0.6343 0.5000
0.3657 0.1343 0.5000
0.6343 0.8657 0.5000
0.8657 0.3657 0.5000
```

Properties
Its formation energy is -13 kJ per mole of atoms. Its total magnetization is 0.0 μB/f.u. The calculation puts the energy above the most stable polymorph in this dataset at 145.8 meV/atom.

# 6
# RbSn3Pt

An optimized crystal structure of RbSn3Pt (PBE-GGA, the Alexandria database).

```
RbSn3Pt
1.0
3.5265 -3.5231 0.0000
3.5265 3.5231 0.0000
-3.5073 0.0000 5.6841
Rb Sn Pt
1 3 1
direct
0.0000 0.0000 0.0000
0.2539 0.7550 0.5087
0.5885 0.5885 0.1787
0.7550 0.2539 0.5087
0.3548 0.3548 0.7088
```

Properties
Its formation energy is -35 kJ per mole of atoms. Its total magnetization is 0.0 μB/f.u. The calculation puts the energy above the most stable polymorph in this dataset at 0.0 meV/atom.

# 7
# RbSn3Pt

An optimized crystal structure of RbSn3Pt (PBE-GGA, the Alexandria database).

```
RbSn3Pt
1.0
5.4242 0.0000 0.0000
0.0000 5.4242 0.0000
0.0000 0.0000 5.4242
Rb Sn Pt
1 3 1
direct
0.0000 0.0000 0.0000
0.0000 0.5000 0.5000
0.5000 0.0000 0.5000
0.5000 0.5000 0.0000
0.5000 0.5000 0.5000
```

Properties
Its formation energy is 2 kJ per mole of atoms. Its total magnetization is 0.0 μB/f.u. The calculation puts the energy above the most stable polymorph in this dataset at 388.4 meV/atom.

# 8
# Rb2SnPt2

An optimized crystal structure of Rb2SnPt2 (PBE-GGA, the Alexandria database).

```
Rb2SnPt2
1.0
5.3155 -3.8936 0.0000
5.3155 3.8936 0.0000
-0.8635 0.0000 7.2025
Rb Sn Pt
4 2 4
direct
0.0264 0.2577 0.0913
0.2577 0.0264 0.5913
0.7423 0.9736 0.4087
0.9736 0.7423 0.9087
0.4790 0.5210 0.2500
0.5210 0.4790 0.7500
0.1909 0.5224 0.4889
0.4776 0.8091 0.0111
0.5224 0.1909 0.9889
0.8091 0.4776 0.5111
```

Properties
Its formation energy is -27 kJ per mole of atoms. Its total magnetization is 0.0 μB/f.u. The calculation puts the energy above the most stable polymorph in this dataset at 0.0 meV/atom.

Which value of formation energy does entry 3 give?
24 kJ per mole of atoms

Look up the total magnetization of the fourth one.
0.0 μB/f.u.

Which formula does entry 3 have?
Rb3SnPt